Entry 1:
VASP calculation (PBE) on an optimized crystal structure of Nd2DyZn4.

Computed properties:
energy of formation from the pure elements	-0.153	eV per atom
symmetry	I4/mmm

Unit cell a=7.3879 b=7.3879 c=7.3879 alpha=138.58 beta=138.58 gamma=60.02
With the nearest neighbours (Å) after each atom.
Positions (direct):
Nd  0.2210  0.2210  0.0000  4 Zn 3.01
Nd  0.7790  0.7790  0.0000  4 Zn 3.01
Dy  0.5000  0.5000  0.0000  8 Zn 2.94
Zn  0.1047  0.6047  0.5000  1 Zn 2.68, 2 Dy 2.94
Zn  0.3953  0.8953  0.5000  1 Zn 2.68, 2 Dy 2.94
Zn  0.6047  0.1047  0.5000  1 Zn 2.68, 2 Dy 2.94
Zn  0.8953  0.3953  0.5000  1 Zn 2.68, 2 Dy 2.94



Entry 2:
VASP calculation (PBE) on an optimized crystal structure of Ac3TbIr.

Computed properties:
energy of formation from the pure elements	-0.170	eV per atom
symmetry	Pm-3m

Unit cell a=5.8798 b=5.8798 c=5.8798 alpha=90.00 beta=90.00 gamma=90.00
With the nearest neighbours (Å) after each atom.
Positions (direct):
Ac  0.0000  0.0000  0.5000  2 Ir 2.94
Ac  0.0000  0.5000  0.0000  2 Ir 2.94
Ac  0.5000  0.0000  0.0000  2 Ir 2.94
Tb  0.5000  0.5000  0.5000  12 Ac 4.16
Ir  0.0000  0.0000  0.0000  6 Ac 2.94



Entry 3:
VASP calculation (PBE) on an optimized crystal structure of NiAgSe.

Computed properties:
symmetry	P-6m2
offset from the most stable computed form	1.34	kcal/mol of atoms

Unit cell a=3.9704 b=3.9704 c=3.8813 alpha=90.00 beta=90.00 gamma=120.00
With the nearest neighbours (Å) after each atom.
Positions (direct):
Ni  0.0000  0.0000  0.0000  3 Se 2.29
Ag  0.6667  0.3333  0.5000  6 Ni 3.00, 6 Se 3.00
Se  0.3333  0.6667  0.0000  3 Ni 2.29



Entry 4:
VASP calculation (PBE) on an optimized crystal structure of Pa3TeN4.

Computed properties:
total energy	-78.652	eV/f.u.
symmetry	P4/mmm

Unit cell a=3.9298 b=3.9298 c=9.0546 alpha=90.00 beta=90.00 gamma=90.00
With the nearest neighbours (Å) after each atom.
Positions (direct):
Pa  0.0000  0.0000  0.0000  8 N 2.42
Pa  0.5000  0.5000  0.2683  4 N 2.21
Pa  0.5000  0.5000  0.7317  4 N 2.21
Te  0.0000  0.0000  0.5000  8 Pa 3.48, 8 N 3.69
N  0.0000  0.5000  0.1555  4 Pa 2.21-2.42
N  0.0000  0.5000  0.8445  4 Pa 2.21-2.42
N  0.5000  0.0000  0.1555  4 Pa 2.21-2.42
N  0.5000  0.0000  0.8445  4 Pa 2.21-2.42



Entry 5:
VASP calculation (PBE) on an optimized crystal structure of CeNdCrN3.

Computed properties:
total energy	-51.734	eV/f.u.
symmetry	P2_1/m

Unit cell a=7.3932 b=3.4803 c=7.4710 alpha=90.00 beta=96.34 gamma=90.00
With the nearest neighbours (Å) after each atom.
Positions (direct):
Ce  0.1335  0.2500  0.1780  5 N 2.31-2.54
Ce  0.8665  0.7500  0.8220  5 N 2.31-2.54
Nd  0.3408  0.7500  0.8310  5 N 2.42-2.69
Nd  0.6592  0.2500  0.1690  5 N 2.42-2.69
Cr  0.4172  0.7500  0.4075  4 N 1.86-1.92
Cr  0.5828  0.2500  0.5925  4 N 1.86-1.92
N  0.0977  0.2500  0.8674  3 Ce 2.31-2.44, 2 Nd 2.54
N  0.3433  0.2500  0.4809  3 Cr 1.87-1.92
N  0.3804  0.7500  0.1575  1 Cr 1.86
N  0.6196  0.2500  0.8425  1 Cr 1.86
N  0.6567  0.7500  0.5191  3 Cr 1.87-1.92
N  0.9023  0.7500  0.1326  3 Ce 2.31-2.44, 2 Nd 2.54



Entry 6:
VASP calculation (PBE) on an optimized crystal structure of Y3Zr.

Computed properties:
energy of formation from the pure elements	0.100	eV per atom
symmetry	I4/mmm
offset from the most stable computed form	0.68	kcal/mol of atoms

Unit cell a=5.9819 b=5.9819 c=5.9819 alpha=131.61 beta=131.61 gamma=70.85
With the nearest neighbours (Å) after each atom.
Positions (direct):
Y  0.0000  0.0000  0.0000  8 Y 3.46, 4 Zr 3.47
Y  0.2500  0.7500  0.5000  4 Zr 3.46, 8 Y 3.46-3.47
Y  0.7500  0.2500  0.5000  4 Zr 3.46, 8 Y 3.46-3.47
Zr  0.5000  0.5000  0.0000  12 Y 3.46-3.47



Entry 7:
VASP calculation (PBE) on an optimized crystal structure of TaCrAu2.

Computed properties:
energy of formation from the pure elements	0.145	eV per atom
symmetry	Pmm2
offset from the most stable computed form	1.42	kcal/mol of atoms

Unit cell a=2.9597 b=4.6843 c=4.9609 alpha=90.00 beta=90.00 gamma=90.00
With the nearest neighbours (Å) after each atom.
Positions (direct):
Ta  0.0000  0.0000  0.0000  8 Au 2.86-2.91, 2 Cr 2.91, 2 Ta 2.96
Cr  0.0000  0.5000  0.3486  8 Au 2.86-2.90, 2 Ta 2.91, 2 Cr 2.96
Au  0.5000  0.0000  0.4940  4 Ta 2.86-2.91, 4 Cr 2.86, 4 Au 2.94-2.96
Au  0.5000  0.5000  0.8507  4 Ta 2.87, 4 Cr 2.88-2.90, 4 Au 2.94-2.96



Entry 8:
VASP calculation (PBE) on an optimized crystal structure of RbLa2H.

Computed properties:
symmetry	R-3m
offset from the most stable computed form	0.00	kcal/mol of atoms

Unit cell a=11.0781 b=11.0781 c=11.0781 alpha=19.90 beta=19.90 gamma=19.90
With the nearest neighbours (Å) after each atom.
Positions (direct):
Rb  0.0000  0.0000  0.0000  6 Rb 3.83, 2 La 3.99
La  0.1226  0.1226  0.1226  3 H 2.64
La  0.8774  0.8774  0.8774  3 H 2.64
H  0.5000  0.5000  0.5000  6 La 2.64



Copy entry 7 word for word.
VASP calculation (PBE) on an optimized crystal structure of TaCrAu2.

Computed properties:
energy of formation from the pure elements	0.145	eV per atom
symmetry	Pmm2
offset from the most stable computed form	1.42	kcal/mol of atoms

Unit cell a=2.9597 b=4.6843 c=4.9609 alpha=90.00 beta=90.00 gamma=90.00
With the nearest neighbours (Å) after each atom.
Positions (direct):
Ta  0.0000  0.0000  0.0000  8 Au 2.86-2.91, 2 Cr 2.91, 2 Ta 2.96
Cr  0.0000  0.5000  0.3486  8 Au 2.86-2.90, 2 Ta 2.91, 2 Cr 2.96
Au  0.5000  0.0000  0.4940  4 Ta 2.86-2.91, 4 Cr 2.86, 4 Au 2.94-2.96
Au  0.5000  0.5000  0.8507  4 Ta 2.87, 4 Cr 2.88-2.90, 4 Au 2.94-2.96



Which formula does entry 2 have? Ac3TbIr